1.
Here is a relaxed YOsF2 crystal from Alexandria via LeMat-Bulk. Energies are from PBE-GGA.

Properties
Raw formation energy: -1.084 eV/atom
E: -6.443 eV/atom
Spin magnetization: 3.0 μB per formula unit
Energy relative to the lowest polymorph listed for this composition: 130 meV/atom

a = 4.277 Å, b = 4.277 Å, c = 8.242 Å
α = 74.96°, β = 74.96°, γ = 90.00°
Each line ends with the local moment (μB).
Sites, in units of the cell vectors:
Y (0.500, 0.500, 0.000)  -0.05
Y (0.250, 0.750, 0.500)  -0.05
Os (0.000, 0.000, 0.000)  2.44
Os (0.750, 0.250, 0.500)  2.45
F (0.554, 0.125, 0.250)  0.09
F (0.196, 0.625, 0.250)  0.09
F (0.375, 0.446, 0.750)  0.09
F (0.875, 0.804, 0.750)  0.09

2.
Here is a relaxed YOsF2 crystal from Alexandria via LeMat-Bulk. Energies are from PBE-GGA.

Properties
Raw formation energy: -0.795 eV/atom
E: -6.154 eV/atom
Spin magnetization: 3.0 μB per formula unit
Energy relative to the lowest polymorph listed for this composition: 419 meV/atom

a = 4.455 Å, b = 4.455 Å, c = 4.455 Å
α = 60.00°, β = 60.00°, γ = 60.00°
Each line ends with the local moment (μB).
Sites, in units of the cell vectors:
Y (0.000, 0.000, 0.000)  -0.06
Os (0.500, 0.500, 0.500)  2.45
F (0.250, 0.250, 0.250)  0.14
F (0.750, 0.750, 0.750)  0.14

3.
Here is a relaxed YOsF2 crystal from Alexandria via LeMat-Bulk. Energies are from PBE-GGA.

Properties
Raw formation energy: -1.214 eV/atom
E: -6.573 eV/atom
Spin magnetization: 2.6 μB per formula unit
Energy relative to the lowest polymorph listed for this composition: 0 meV/atom

a = 6.078 Å, b = 6.078 Å, c = 6.078 Å
α = 35.99°, β = 35.99°, γ = 35.99°
Each line ends with the local moment (μB).
Sites, in units of the cell vectors:
Y (0.000, 0.000, 0.000)  -0.05
Os (0.500, 0.500, 0.500)  2.33
F (0.705, 0.705, 0.705)  0.02
F (0.295, 0.295, 0.295)  0.02

4.
Here is a relaxed YOs3F crystal from Alexandria via LeMat-Bulk. Energies are from PBE-GGA.

Properties
Raw formation energy: 1.022 eV/atom
E: -7.383 eV/atom
Spin magnetization: 0.0 μB per formula unit
Energy relative to the lowest polymorph listed for this composition: 0 meV/atom

a = 4.347 Å, b = 4.347 Å, c = 4.347 Å
α = 90.00°, β = 90.00°, γ = 90.00°
Sites, in units of the cell vectors:
Y (0.500, 0.500, 0.500)
Os (0.000, 0.500, 0.000)
Os (0.000, 0.000, 0.500)
Os (0.500, 0.000, 0.000)
F (0.000, 0.000, 0.000)

5.
Here is a relaxed YOsF2 crystal from Alexandria via LeMat-Bulk. Energies are from PBE-GGA.

Properties
Raw formation energy: -1.127 eV/atom
E: -6.486 eV/atom
Spin magnetization: 0.9 μB per formula unit
Energy relative to the lowest polymorph listed for this composition: 87 meV/atom

a = 7.851 Å, b = 7.851 Å, c = 7.851 Å
α = 21.62°, β = 21.62°, γ = 21.62°
Each line ends with the local moment (μB).
Sites, in units of the cell vectors:
Y (0.500, 0.500, 0.500)  0.10
Os (0.000, 0.000, 0.000)  0.68
F (0.907, 0.907, 0.907)  0.01
F (0.093, 0.093, 0.093)  0.01

6.
Here is a relaxed YOs3F crystal from Alexandria via LeMat-Bulk. Energies are from PBE-GGA.

Properties
Raw formation energy: 3.010 eV/atom
E: -5.394 eV/atom
Spin magnetization: 6.5 μB per formula unit
Energy relative to the lowest polymorph listed for this composition: 1988 meV/atom

a = 5.076 Å, b = 5.076 Å, c = 5.076 Å
α = 90.00°, β = 90.00°, γ = 90.00°
Each line ends with the local moment (μB).
Sites, in units of the cell vectors:
Y (0.000, 0.000, 0.000)  -0.14
Os (0.000, 0.500, 0.000)  2.01
Os (0.000, 0.000, 0.500)  1.83
Os (0.500, 0.000, 0.000)  2.08
F (0.500, 0.500, 0.500)  0.23

7.
Here is a relaxed Y2OsF crystal from Alexandria via LeMat-Bulk. Energies are from PBE-GGA.

Properties
Raw formation energy: -0.886 eV/atom
E: -7.393 eV/atom
Spin magnetization: 0.0 μB per formula unit
Energy relative to the lowest polymorph listed for this composition: 0 meV/atom

a = 4.791 Å, b = 4.791 Å, c = 4.791 Å
α = 60.00°, β = 60.00°, γ = 60.00°
Sites, in units of the cell vectors:
Y (0.250, 0.250, 0.250)
Y (0.750, 0.750, 0.750)
Os (0.500, 0.500, 0.500)
F (0.000, 0.000, 0.000)

8.
Here is a relaxed Y2OsF crystal from Alexandria via LeMat-Bulk. Energies are from PBE-GGA.

Properties
Raw formation energy: -0.860 eV/atom
E: -7.368 eV/atom
Spin magnetization: 0.0 μB per formula unit
Energy relative to the lowest polymorph listed for this composition: 25 meV/atom

a = 5.699 Å, b = 5.699 Å, c = 7.217 Å
α = 66.74°, β = 66.74°, γ = 90.00°
Sites, in units of the cell vectors:
Y (0.585, 0.125, 0.250)
Y (0.165, 0.625, 0.250)
Y (0.375, 0.415, 0.750)
Y (0.875, 0.835, 0.750)
Os (0.000, 0.000, 0.000)
Os (0.750, 0.250, 0.500)
F (0.500, 0.500, 0.000)
F (0.250, 0.750, 0.500)

9.
Here is a relaxed YOsF3 crystal from Alexandria via LeMat-Bulk. Energies are from PBE-GGA.

Properties
Raw formation energy: -0.742 eV/atom
E: -5.404 eV/atom
Spin magnetization: 0.0 μB per formula unit
Energy relative to the lowest polymorph listed for this composition: 831 meV/atom

a = 4.316 Å, b = 4.316 Å, c = 4.316 Å
α = 90.00°, β = 90.00°, γ = 90.00°
Sites, in units of the cell vectors:
Y (0.500, 0.500, 0.500)
Os (0.000, 0.000, 0.000)
F (0.000, 0.500, 0.000)
F (0.000, 0.000, 0.500)
F (0.500, 0.000, 0.000)

10.
Here is a relaxed YOsF3 crystal from Alexandria via LeMat-Bulk. Energies are from PBE-GGA.

Properties
Raw formation energy: -1.573 eV/atom
E: -6.235 eV/atom
Spin magnetization: 4.0 μB per formula unit
Energy relative to the lowest polymorph listed for this composition: 0 meV/atom

a = 4.490 Å, b = 4.490 Å, c = 4.490 Å
α = 90.00°, β = 90.00°, γ = 90.00°
Each line ends with the local moment (μB).
Sites, in units of the cell vectors:
Y (0.000, 0.000, 0.000)  0.00
Os (0.500, 0.500, 0.500)  3.21
F (0.000, 0.500, 0.000)  0.06
F (0.000, 0.000, 0.500)  0.04
F (0.500, 0.000, 0.000)  0.04

11.
Here is a relaxed Zn2OsF2 crystal from Alexandria via LeMat-Bulk. Energies are from PBE-GGA.

Properties
Raw formation energy: -0.183 eV/atom
E: -3.687 eV/atom
Spin magnetization: 0.2 μB per formula unit
Energy relative to the lowest polymorph listed for this composition: 224 meV/atom

a = 4.618 Å, b = 4.618 Å, c = 4.612 Å
α = 59.95°, β = 59.95°, γ = 90.00°
Each line ends with the local moment (μB).
Sites, in units of the cell vectors:
Zn (0.750, 0.250, 0.500)  -0.01
Zn (0.250, 0.750, 0.500)  -0.01
Os (0.000, 0.000, 0.000)  0.20
F (0.322, 0.322, 0.356)  0.00
F (0.678, 0.678, 0.644)  0.00

12.
Here is a relaxed ZnOsF2 crystal from Alexandria via LeMat-Bulk. Energies are from PBE-GGA.

Properties
Raw formation energy: 0.230 eV/atom
E: -3.832 eV/atom
Spin magnetization: 0.3 μB per formula unit
Energy relative to the lowest polymorph listed for this composition: 87 meV/atom

a = 5.145 Å, b = 5.145 Å, c = 5.574 Å
α = 62.52°, β = 62.52°, γ = 90.00°
Each line ends with the local moment (μB).
Sites, in units of the cell vectors:
Zn (0.500, 0.500, 0.000)  0.00
Zn (0.250, 0.750, 0.500)  0.00
Os (0.000, 0.000, 0.000)  0.32
Os (0.750, 0.250, 0.500)  0.31
F (0.561, 0.125, 0.250)  0.00
F (0.189, 0.625, 0.250)  0.00
F (0.375, 0.439, 0.750)  0.00
F (0.875, 0.811, 0.750)  0.00

13.
Here is a relaxed ZnOs2F crystal from Alexandria via LeMat-Bulk. Energies are from PBE-GGA.

Properties
Raw formation energy: 0.761 eV/atom
E: -5.640 eV/atom
Spin magnetization: 0.0 μB per formula unit
Energy relative to the lowest polymorph listed for this composition: 0 meV/atom

a = 7.254 Å, b = 7.254 Å, c = 5.600 Å
α = 49.63°, β = 49.63°, γ = 90.00°
Sites, in units of the cell vectors:
Zn (0.000, 0.000, 0.000)
Zn (0.750, 0.250, 0.500)
Os (0.561, 0.125, 0.250)
Os (0.189, 0.625, 0.250)
Os (0.375, 0.439, 0.750)
Os (0.875, 0.811, 0.750)
F (0.500, 0.500, 0.000)
F (0.250, 0.750, 0.500)

14.
Here is a relaxed ZnOsF2 crystal from Alexandria via LeMat-Bulk. Energies are from PBE-GGA.

Properties
Raw formation energy: 0.142 eV/atom
E: -3.919 eV/atom
Spin magnetization: 2.9 μB per formula unit
Energy relative to the lowest polymorph listed for this composition: 0 meV/atom

a = 4.196 Å, b = 4.196 Å, c = 4.196 Å
α = 60.00°, β = 60.00°, γ = 60.00°
Each line ends with the local moment (μB).
Sites, in units of the cell vectors:
Zn (0.000, 0.000, 0.000)  -0.07
Os (0.500, 0.500, 0.500)  2.56
F (0.250, 0.250, 0.250)  0.10
F (0.750, 0.750, 0.750)  0.10

15.
Here is a relaxed ZnOsF3 crystal from Alexandria via LeMat-Bulk. Energies are from PBE-GGA.

Properties
Raw formation energy: -0.524 eV/atom
E: -4.147 eV/atom
Spin magnetization: 0.9 μB per formula unit
Energy relative to the lowest polymorph listed for this composition: 0 meV/atom

a = 4.187 Å, b = 4.187 Å, c = 4.187 Å
α = 90.00°, β = 90.00°, γ = 90.00°
Each line ends with the local moment (μB).
Sites, in units of the cell vectors:
Zn (0.500, 0.500, 0.500)  0.13
Os (0.000, 0.000, 0.000)  0.54
F (0.000, 0.500, 0.000)  0.05
F (0.000, 0.000, 0.500)  0.03
F (0.500, 0.000, 0.000)  0.06

16.
Here is a relaxed ZnOs2F crystal from Alexandria via LeMat-Bulk. Energies are from PBE-GGA.

Properties
Raw formation energy: 0.882 eV/atom
E: -5.519 eV/atom
Spin magnetization: 3.2 μB per formula unit
Energy relative to the lowest polymorph listed for this composition: 121 meV/atom

a = 4.245 Å, b = 4.245 Å, c = 4.245 Å
α = 60.00°, β = 60.00°, γ = 60.00°
Each line ends with the local moment (μB).
Sites, in units of the cell vectors:
Zn (0.500, 0.500, 0.500)  0.03
Os (0.250, 0.250, 0.250)  1.46
Os (0.750, 0.750, 0.750)  1.46
F (0.000, 0.000, 0.000)  0.13

17.
Here is a relaxed ZnOsF3 crystal from Alexandria via LeMat-Bulk. Energies are from PBE-GGA.

Properties
Raw formation energy: -0.430 eV/atom
E: -4.053 eV/atom
Spin magnetization: 3.9 μB per formula unit
Energy relative to the lowest polymorph listed for this composition: 94 meV/atom

a = 4.107 Å, b = 4.107 Å, c = 4.107 Å
α = 90.00°, β = 90.00°, γ = 90.00°
Each line ends with the local moment (μB).
Sites, in units of the cell vectors:
Zn (0.000, 0.000, 0.000)  0.00
Os (0.500, 0.500, 0.500)  3.25
F (0.000, 0.500, 0.000)  0.07
F (0.000, 0.000, 0.500)  0.06
F (0.500, 0.000, 0.000)  0.05

18.
Here is a relaxed Zn3OsF crystal from Alexandria via LeMat-Bulk. Energies are from PBE-GGA.

Properties
Raw formation energy: 0.497 eV/atom
E: -2.887 eV/atom
Spin magnetization: 1.2 μB per formula unit
Energy relative to the lowest polymorph listed for this composition: 411 meV/atom

a = 4.859 Å, b = 4.859 Å, c = 4.859 Å
α = 90.00°, β = 90.00°, γ = 90.00°
Each line ends with the local moment (μB).
Sites, in units of the cell vectors:
Zn (0.000, 0.500, 0.000)  0.02
Zn (0.000, 0.000, 0.500)  0.03
Zn (0.500, 0.000, 0.000)  0.01
Os (0.000, 0.000, 0.000)  0.94
F (0.500, 0.500, 0.500)  0.04

19.
Here is a relaxed Zn3OsF crystal from Alexandria via LeMat-Bulk. Energies are from PBE-GGA.

Properties
Raw formation energy: 0.086 eV/atom
E: -3.298 eV/atom
Spin magnetization: 0.9 μB per formula unit
Energy relative to the lowest polymorph listed for this composition: 0 meV/atom

a = 4.139 Å, b = 4.139 Å, c = 4.139 Å
α = 90.00°, β = 90.00°, γ = 90.00°
Each line ends with the local moment (μB).
Sites, in units of the cell vectors:
Zn (0.000, 0.500, 0.000)  -0.01
Zn (0.000, 0.000, 0.500)  -0.01
Zn (0.500, 0.000, 0.000)  -0.02
Os (0.500, 0.500, 0.500)  0.89
F (0.000, 0.000, 0.000)  -0.01

20.
Here is a relaxed Zn2OsF2 crystal from Alexandria via LeMat-Bulk. Energies are from PBE-GGA.

Properties
Raw formation energy: -0.407 eV/atom
E: -3.911 eV/atom
Spin magnetization: 1.0 μB per formula unit
Energy relative to the lowest polymorph listed for this composition: 0 meV/atom

a = 7.127 Å, b = 7.127 Å, c = 2.591 Å
α = 90.00°, β = 90.00°, γ = 90.00°
Each line ends with the local moment (μB).
Sites, in units of the cell vectors:
Zn (0.215, 0.715, 0.500)  -0.01
Zn (0.715, 0.785, 0.500)  -0.01
Zn (0.785, 0.285, 0.500)  -0.01
Zn (0.285, 0.215, 0.500)  -0.01
Os (0.000, 0.000, 0.000)  0.88
Os (0.500, 0.500, 0.000)  0.89
F (0.381, 0.881, 0.000)  0.05
F (0.881, 0.619, 0.000)  0.05
F (0.619, 0.119, 0.000)  0.05
F (0.119, 0.381, 0.000)  0.05